Density functional theory data (GGA-PBE) for a relaxed structure of ErMnOs.

```
data_ErMnOs
_symmetry_space_group_name_H-M 'F m m m'
_symmetry_Int_Tables_number 69
_symmetry_space_group_name_Hall '-F 2 2'
_cell_length_a 4.900
_cell_length_b 8.677
_cell_length_c 9.079
_cell_angle_alpha 90.00
_cell_angle_beta 90.00
_cell_angle_gamma 90.00
loop_
_atom_site_label
_atom_site_type_symbol
_atom_site_fract_x
_atom_site_fract_y
_atom_site_fract_z
_atom_site_occupancy
Er1 Er 0.000 0.161 0.000 1
Mn1 Mn 0.250 0.250 0.250 1
Os1 Os 0.000 0.000 0.357 1
```

Values from the calculation:
**ρ**: 14.19 g/cm³
**Spin magnetization**: 0.0 Bohr magnetons per cell
**VASP energy**: -8.109 eV/atom
**Volume**: 48 Å³/f.u.
**N(E_F)**: 19.40 states/eV per cell